Entry from Alexandria via LeMat-Bulk: an optimized crystal structure of TbSnRh (PBE).

Computed properties:
N(E_F)	0.5910	states/eV/atom
DFT formation energy	-0.651	eV/atom
total energy	-5.979	eV per atom

```
3
Lattice="-1.6775 1.6775 5.6608 1.6775 -1.6775 5.6608 1.6775 1.6775 -5.6608" Properties=species:S:1:pos:R:3 pbc="T T T"
Tb 0.0000 0.0000 0.0000
Sn 0.0000 0.0000 7.9889
Rh 0.0000 0.0000 3.8372
```